VASP calculation (PBE) on Tl2InAg after structural relaxation.

Unit cell a=4.814 b=3.729 c=6.186 alpha=73.91 beta=90.00 gamma=90.00
Element x y z (fractional)
Tl: 0.000 0.957 0.961
Tl: 0.500 0.285 0.302
Ag: 0.000 0.703 0.479
In: 0.500 0.555 0.758

For the calculated volume, the calculation gives 107 Å³ per cell. Its calculated total energy is -10.01 eV for the cell shown. The total magnetic moment comes out at 0.00 μB/f.u. The calculation puts the energy above the lowest structure with this stoichiometry at 35 meV per atom. The formation energy is 0.0787 eV/atom. The calculation puts the density of states at the Fermi level at 1.56 states/eV per cell.